# CsCr2Ni2 PBE optimized geometry
data_CsCr2Ni2
_chemical_formula_sum 'Cs2 Cr4 Ni4'
_cell_length_a 7.836
_cell_length_b 7.836
_cell_length_c 2.899
_cell_angle_alpha 90.00
_cell_angle_beta 90.00
_cell_angle_gamma 90.00
_symmetry_space_group_name_H-M 'P 4/m b m'
_symmetry_Int_Tables_number 127
_symmetry_space_group_name_Hall '-P 4 2ab'
loop_
_atom_site_label
_atom_site_type_symbol
_atom_site_fract_x
_atom_site_fract_y
_atom_site_fract_z
_atom_site_occupancy
Cs1 Cs 0.000 0.000 0.000 1
Cr1 Cr 0.084 0.416 0.500 1
Ni1 Ni 0.180 0.680 0.000 1
# energy above the most stable polymorph in this dataset	203.2	meV per atom
# DFT total energy	-5.2670	eV per atom
# density	6.61	Mg/m³